Density functional theory data (PBE with a Hubbard U) for an optimized crystal structure of YV3F.

Summary:
Its calculated volume is 37.32 Å³/atom. For the calculated total energy, the calculation gives -4.0804 eV/atom. The calculation puts the offset from the most stable computed form at 1691 meV/atom. As for the symmetry: Pm-3m, No. 221. Its magnetization is 12.524 μB/cell.

```
5
Lattice="-1.5881 4.9177 2.4394 -1.3638 -2.8132 4.7835 5.3174 0.7472 1.9554" Properties=species:S:1:pos:R:3 pbc="T T T"
V -0.7940 2.4589 1.2197
V 2.6587 0.3736 0.9777
V -0.6819 -1.4066 2.3918
F 1.1828 1.4258 4.5891
Y 0.0000 0.0000 0.0000
```